No. 1
First-principles (GGA-PBE) data for an optimized crystal structure of SnGe2Ir2, as listed in Alexandria.

```
SnGe2Ir2
1.0
1.713 -13.622 0.000
1.713 13.622 0.000
0.000 0.000 3.927
Sn Ge Ir
2 4 4
Direct
0.135 0.865 0.750
0.865 0.135 0.250
0.255 0.745 0.250
0.457 0.543 0.750
0.543 0.457 0.250
0.745 0.255 0.750
0.037 0.963 0.750
0.311 0.689 0.750
0.689 0.311 0.250
0.963 0.037 0.250
```

DFT formation energy, meV per atom: -86
E_tot, eV per atom: -6.278
Energy above the lowest structure with this stoichiometry, meV/atom: 16
DOS at the Fermi energy, states/eV per cell: 1.584

=====

No. 2
First-principles (GGA-PBE) data for an optimized crystal structure of Sn2GeIr2, as listed in Alexandria.

```
Sn2GeIr2
1.0
7.869 0.000 0.000
0.000 7.869 0.000
0.000 0.000 3.023
Sn Ge Ir
4 2 4
Direct
0.155 0.345 0.000
0.345 0.845 0.000
0.655 0.155 0.000
0.845 0.655 0.000
0.000 0.000 0.500
0.500 0.500 0.500
0.142 0.642 0.500
0.358 0.142 0.500
0.642 0.858 0.500
0.858 0.358 0.500
```

DFT formation energy, meV per atom: 3
E_tot, eV per atom: -6.066
DOS at the Fermi energy, states/eV per cell: 3.914

=====

No. 3
First-principles (GGA-PBE) data for an optimized crystal structure of Sn3GeIr, as listed in Alexandria.

```
Sn3GeIr
1.0
5.158 0.000 0.000
0.000 5.158 0.000
0.000 0.000 5.158
Sn Ge Ir
3 1 1
Direct
0.000 0.000 0.500
0.000 0.500 0.000
0.500 0.000 0.000
0.500 0.500 0.500
0.000 0.000 0.000
```

DFT formation energy, meV per atom: 296
E_tot, eV per atom: -4.802
Energy above the lowest structure with this stoichiometry, meV/atom: 410
DOS at the Fermi energy, states/eV per cell: 5.313

=====

No. 4
First-principles (GGA-PBE) data for an optimized crystal structure of Sn3GeIr, as listed in Alexandria.

```
Sn3GeIr
1.0
5.145 0.000 0.000
0.000 5.145 0.000
0.000 0.000 5.145
Sn Ge Ir
3 1 1
Direct
0.000 0.000 0.500
0.000 0.500 0.000
0.500 0.000 0.000
0.000 0.000 0.000
0.500 0.500 0.500
```

DFT formation energy, meV per atom: 1143
E_tot, eV per atom: -3.955
Energy above the lowest structure with this stoichiometry, meV/atom: 1257
DOS at the Fermi energy, states/eV per cell: 4.365

=====

No. 5
First-principles (GGA-PBE) data for an optimized crystal structure of Sn5GeIr3, as listed in Alexandria.

```
Sn5GeIr3
1.0
6.236 0.000 0.000
0.000 3.803 0.000
-0.516 0.000 18.627
Sn Ge Ir
10 2 6
Direct
0.193 0.000 0.401
0.218 0.000 0.068
0.279 0.500 0.897
0.297 0.500 0.236
0.304 0.500 0.572
0.696 0.500 0.428
0.703 0.500 0.764
0.721 0.500 0.103
0.782 0.000 0.932
0.807 0.000 0.599
0.201 0.000 0.734
0.799 0.000 0.266
0.000 0.500 0.000
0.020 0.500 0.674
0.484 0.000 0.828
0.500 0.000 0.500
0.516 0.000 0.172
0.980 0.500 0.326
```

DFT formation energy, meV per atom: -198
E_tot, eV per atom: -5.888
Energy above the lowest structure with this stoichiometry, meV/atom: 0
DOS at the Fermi energy, states/eV per cell: 5.240

=====

No. 6
First-principles (GGA-PBE) data for an optimized crystal structure of Sn2Ge2Ir, as listed in Alexandria.

```
Sn2Ge2Ir
1.0
6.478 0.000 0.000
0.000 6.478 0.000
0.000 0.000 5.034
Sn Ge Ir
4 4 2
Direct
0.178 0.322 0.000
0.322 0.822 0.000
0.678 0.178 0.000
0.822 0.678 0.000
0.141 0.641 0.500
0.359 0.141 0.500
0.641 0.859 0.500
0.859 0.359 0.500
0.000 0.000 0.500
0.500 0.500 0.500
```

DFT formation energy, meV per atom: 52
E_tot, eV per atom: -5.168
DOS at the Fermi energy, states/eV per cell: 4.691

=====

No. 7
First-principles (GGA-PBE) data for an optimized crystal structure of Sn3GeIr, as listed in Alexandria.

```
Sn3GeIr
1.0
5.254 -4.302 0.000
5.254 4.302 0.000
-3.916 0.000 5.107
Sn Ge Ir
6 2 2
Direct
0.054 0.054 0.319
0.086 0.473 0.258
0.473 0.086 0.258
0.527 0.914 0.742
0.914 0.527 0.742
0.946 0.946 0.681
0.443 0.443 0.740
0.557 0.557 0.260
0.264 0.264 0.887
0.736 0.736 0.113
```

DFT formation energy, meV per atom: -114
E_tot, eV per atom: -5.211
Energy above the lowest structure with this stoichiometry, meV/atom: 0
DOS at the Fermi energy, states/eV per cell: 3.592

=====

No. 8
First-principles (GGA-PBE) data for an optimized crystal structure of SnGeIr3, as listed in Alexandria.

```
SnGeIr3
1.0
4.885 0.000 0.000
0.000 4.885 0.000
0.000 0.000 4.885
Sn Ge Ir
1 1 3
Direct
0.000 0.000 0.000
0.500 0.500 0.500
0.000 0.000 0.500
0.000 0.500 0.000
0.500 0.000 0.000
```

DFT formation energy, meV per atom: 1765
E_tot, eV per atom: -5.275
Energy above the lowest structure with this stoichiometry, meV/atom: 852
DOS at the Fermi energy, states/eV per cell: 5.409

=====

No. 9
First-principles (GGA-PBE) data for an optimized crystal structure of SnGe3Ir, as listed in Alexandria.

```
SnGe3Ir
1.0
4.873 0.000 0.000
0.000 4.873 0.000
0.000 0.000 4.873
Sn Ge Ir
1 3 1
Direct
0.000 0.000 0.000
0.000 0.500 0.500
0.500 0.000 0.500
0.500 0.500 0.000
0.500 0.500 0.500
```

DFT formation energy, meV per atom: 262
E_tot, eV per atom: -5.081
Energy above the lowest structure with this stoichiometry, meV/atom: 0
DOS at the Fermi energy, states/eV per cell: 3.810

=====

No. 10
First-principles (GGA-PBE) data for an optimized crystal structure of SnGe2Ir2, as listed in Alexandria.

```
SnGe2Ir2
1.0
-1.940 1.940 6.005
1.940 -1.940 6.005
1.940 1.940 -6.005
Sn Ge Ir
1 2 2
Direct
0.000 0.000 0.000
0.250 0.750 0.500
0.750 0.250 0.500
0.381 0.381 0.000
0.619 0.619 0.000
```

DFT formation energy, meV per atom: -102
E_tot, eV per atom: -6.294
Energy above the lowest structure with this stoichiometry, meV/atom: 0
DOS at the Fermi energy, states/eV per cell: 2.446

=====

No. 11
First-principles (GGA-PBE) data for an optimized crystal structure of SnGeIr3, as listed in Alexandria.

```
SnGeIr3
1.0
4.614 0.000 0.000
0.000 4.614 0.000
0.000 0.000 4.614
Sn Ge Ir
1 1 3
Direct
0.000 0.000 0.000
0.500 0.500 0.500
0.000 0.500 0.500
0.500 0.000 0.500
0.500 0.500 0.000
```

DFT formation energy, meV per atom: 913
E_tot, eV per atom: -6.127
Energy above the lowest structure with this stoichiometry, meV/atom: 0
DOS at the Fermi energy, states/eV per cell: 10.103

=====

No. 12
First-principles (GGA-PBE) data for an optimized crystal structure of Sn2GeIr, as listed in Alexandria.

```
Sn2GeIr
1.0
-3.077 3.077 6.048
3.077 -3.077 6.048
3.077 3.077 -6.048
Sn Ge Ir
4 2 2
Direct
0.106 0.625 0.981
0.375 0.356 0.481
0.644 0.125 0.019
0.875 0.894 0.519
0.250 0.750 0.500
0.500 0.500 0.000
0.000 0.000 0.000
0.750 0.250 0.500
```

DFT formation energy, meV per atom: 299
E_tot, eV per atom: -5.072
DOS at the Fermi energy, states/eV per cell: 6.474